# Zr2TaHPd | Alexandria | GGA-PBE | relaxed
data_Zr2TaHPd
_cell_length_a 4.6183
_cell_length_b 4.6183
_cell_length_c 3.7667
_cell_angle_alpha 90.00
_cell_angle_beta 90.00
_cell_angle_gamma 90.00
_space_group_name_H-M_alt 'P 1'
_space_group_IT_number 1
_space_group_name_Hall 'P 1'
loop_
_atom_site_label
_atom_site_type_symbol
_atom_site_fract_x
_atom_site_fract_y
_atom_site_fract_z
Zr1 Zr 0.5000 0.0000 0.0000
H1 H 0.0000 0.0000 0.0000
Ta1 Ta 0.0000 0.0000 0.5000
Pd1 Pd 0.5000 0.5000 0.5000
Zr2 Zr 0.0000 0.5000 0.0000
# Final energy ... -7.74 eV/atom
# D(E_F) ... 4.4 states/eV/cell

---

# Pa2AsPRu6 | Alexandria | GGA-PBE | relaxed
data_Pa2AsPRu6
_cell_length_a 5.8327
_cell_length_b 7.4915
_cell_length_c 8.4958
_cell_angle_alpha 90.00
_cell_angle_beta 90.00
_cell_angle_gamma 90.00
_space_group_name_H-M_alt 'P 1'
_space_group_IT_number 1
_space_group_name_Hall 'P 1'
loop_
_atom_site_label
_atom_site_type_symbol
_atom_site_fract_x
_atom_site_fract_y
_atom_site_fract_z
Ru1 Ru 0.7528 0.9779 0.5000
Ru2 Ru 0.2528 0.0221 0.0000
Pa1 Pa 0.5000 0.7675 0.2477
Pa2 Pa 0.0000 0.2325 0.2523
Ru3 Ru 0.5000 0.1455 0.2456
As1 As 0.5000 0.3144 0.0000
Ru4 Ru 0.7472 0.0221 0.0000
Pa3 Pa 0.5000 0.7675 0.7523
P1 P 0.5000 0.2067 0.5000
Ru5 Ru 0.5000 0.1455 0.7544
Pa4 Pa 0.0000 0.2325 0.7477
Ru6 Ru 0.2762 0.5926 0.0000
As2 As 0.0000 0.6856 0.5000
Ru7 Ru 0.2472 0.9779 0.5000
Ru8 Ru 0.0000 0.8545 0.7456
Ru9 Ru 0.0000 0.8545 0.2544
Ru10 Ru 0.7238 0.5926 0.0000
Ru11 Ru 0.7762 0.4074 0.5000
P2 P 0.0000 0.7933 0.0000
Ru12 Ru 0.2238 0.4074 0.5000
# Final energy ... -8.74 eV/atom
# D(E_F) ... 16.6 states/eV/cell

---

# SrTaAg4 | Alexandria | GGA-PBE | relaxed
data_SrTaAg4
_cell_length_a 5.6646
_cell_length_b 5.6646
_cell_length_c 5.6646
_cell_angle_alpha 60.00
_cell_angle_beta 60.00
_cell_angle_gamma 60.00
_space_group_name_H-M_alt 'P 1'
_space_group_IT_number 1
_space_group_name_Hall 'P 1'
loop_
_atom_site_label
_atom_site_type_symbol
_atom_site_fract_x
_atom_site_fract_y
_atom_site_fract_z
Ag1 Ag 0.8772 0.3743 0.3743
Ag2 Ag 0.3743 0.3743 0.8772
Ag3 Ag 0.3743 0.3743 0.3743
Ag4 Ag 0.3743 0.8772 0.3743
Ta1 Ta 0.0000 0.0000 0.0000
Sr1 Sr 0.7500 0.7500 0.7500
# Final energy ... -3.72 eV/atom
# D(E_F) ... 6.9 states/eV/cell

---

# NpTiC2 | Alexandria | GGA-PBE | relaxed
data_NpTiC2
_cell_length_a 3.2104
_cell_length_b 3.2104
_cell_length_c 5.8328
_cell_angle_alpha 74.03
_cell_angle_beta 74.03
_cell_angle_gamma 60.00
_space_group_name_H-M_alt 'P 1'
_space_group_IT_number 1
_space_group_name_Hall 'P 1'
loop_
_atom_site_label
_atom_site_type_symbol
_atom_site_fract_x
_atom_site_fract_y
_atom_site_fract_z
Np1 Np 0.5000 0.5000 0.5000
C1 C 0.7416 0.7416 0.7751
C2 C 0.2584 0.2584 0.2249
Ti1 Ti 0.0000 0.0000 0.0000
# Final energy ... -10.10 eV/atom
# D(E_F) ... 4.0 states/eV/cell

---

# CaMo2Ir2 | Alexandria | GGA-PBE | relaxed
data_CaMo2Ir2
_cell_length_a 7.8693
_cell_length_b 7.8693
_cell_length_c 2.8201
_cell_angle_alpha 90.00
_cell_angle_beta 90.00
_cell_angle_gamma 90.00
_space_group_name_H-M_alt 'P 1'
_space_group_IT_number 1
_space_group_name_Hall 'P 1'
loop_
_atom_site_label
_atom_site_type_symbol
_atom_site_fract_x
_atom_site_fract_y
_atom_site_fract_z
Mo1 Mo 0.6655 0.8345 0.5000
Mo2 Mo 0.1655 0.6655 0.5000
Ir1 Ir 0.3747 0.8747 0.0000
Ir2 Ir 0.1253 0.3747 0.0000
Ca1 Ca 0.0000 0.0000 0.0000
Ir3 Ir 0.8747 0.6253 0.0000
Mo3 Mo 0.8345 0.3345 0.5000
Mo4 Mo 0.3345 0.1655 0.5000
Ir4 Ir 0.6253 0.1253 0.0000
Ca2 Ca 0.5000 0.5000 0.0000
# Final energy ... -8.30 eV/atom
# D(E_F) ... 7.4 states/eV/cell

---

# As2PdBr2 | Alexandria | GGA-PBE | relaxed
data_As2PdBr2
_cell_length_a 3.6750
_cell_length_b 3.6750
_cell_length_c 8.8744
_cell_angle_alpha 78.05
_cell_angle_beta 78.05
_cell_angle_gamma 90.00
_space_group_name_H-M_alt 'P 1'
_space_group_IT_number 1
_space_group_name_Hall 'P 1'
loop_
_atom_site_label
_atom_site_type_symbol
_atom_site_fract_x
_atom_site_fract_y
_atom_site_fract_z
As1 As 0.2500 0.7500 0.5000
Pd1 Pd 0.0000 0.0000 0.0000
As2 As 0.7500 0.2500 0.5000
Br1 Br 0.4047 0.4047 0.1906
Br2 Br 0.5953 0.5953 0.8094
# Formation energy from raw total energies ... 1.830 eV/f.u.
# D(E_F) ... 3.8 states/eV/cell

---

# NaBeZnP | Alexandria | GGA-PBE | relaxed
data_NaBeZnP
_cell_length_a 3.5963
_cell_length_b 3.5963
_cell_length_c 11.3623
_cell_angle_alpha 90.00
_cell_angle_beta 90.00
_cell_angle_gamma 90.00
_space_group_name_H-M_alt 'P 1'
_space_group_IT_number 1
_space_group_name_Hall 'P 1'
loop_
_atom_site_label
_atom_site_type_symbol
_atom_site_fract_x
_atom_site_fract_y
_atom_site_fract_z
P1 P 0.7500 0.7500 0.8860
P2 P 0.2500 0.2500 0.1140
Na1 Na 0.2500 0.2500 0.7561
Zn1 Zn 0.2500 0.7500 0.5000
Be1 Be 0.7500 0.2500 0.0000
Na2 Na 0.7500 0.7500 0.2439
Be2 Be 0.2500 0.7500 0.0000
Zn2 Zn 0.7500 0.2500 0.5000
# Final energy ... -3.16 eV/atom
# D(E_F) ... 2.7 states/eV/cell

---

# ScInFe | Alexandria | GGA-PBE | relaxed
data_ScInFe
_cell_length_a 3.2047
_cell_length_b 3.2047
_cell_length_c 6.5299
_cell_angle_alpha 90.00
_cell_angle_beta 90.00
_cell_angle_gamma 120.00
_space_group_name_H-M_alt 'P 1'
_space_group_IT_number 1
_space_group_name_Hall 'P 1'
loop_
_atom_site_label
_atom_site_type_symbol
_atom_site_fract_x
_atom_site_fract_y
_atom_site_fract_z
Fe1 Fe 0.0000 0.0000 0.9925
In1 In 0.3333 0.6667 0.3057
Sc1 Sc 0.6667 0.3333 0.7018
# Final energy ... -5.71 eV/atom
# D(E_F) ... 3.7 states/eV/cell

---

# HgIrPb | Alexandria | GGA-PBE | relaxed
data_HgIrPb
_cell_length_a 5.4584
_cell_length_b 4.1452
_cell_length_c 6.6458
_cell_angle_alpha 90.00
_cell_angle_beta 98.02
_cell_angle_gamma 90.00
_space_group_name_H-M_alt 'P 1'
_space_group_IT_number 1
_space_group_name_Hall 'P 1'
loop_
_atom_site_label
_atom_site_type_symbol
_atom_site_fract_x
_atom_site_fract_y
_atom_site_fract_z
Ir1 Ir 0.9224 0.0000 0.7669
Hg1 Hg 0.4363 0.0000 0.9105
Ir2 Ir 0.6587 0.5000 0.6543
Hg2 Hg 0.5884 0.0000 0.3489
Pb1 Pb 0.9730 0.5000 0.0613
Pb2 Pb 0.1568 0.5000 0.5539
# Final energy ... -4.01 eV/atom
# D(E_F) ... 3.4 states/eV/cell

---

# BaWAu2 | Alexandria | GGA-PBE | relaxed
data_BaWAu2
_cell_length_a 3.2324
_cell_length_b 3.2324
_cell_length_c 8.4580
_cell_angle_alpha 90.00
_cell_angle_beta 90.00
_cell_angle_gamma 89.99
_space_group_name_H-M_alt 'P 1'
_space_group_IT_number 1
_space_group_name_Hall 'P 1'
loop_
_atom_site_label
_atom_site_type_symbol
_atom_site_fract_x
_atom_site_fract_y
_atom_site_fract_z
Ba1 Ba 0.5000 0.5000 0.2500
Au1 Au 0.0000 0.0000 0.9451
W1 W 0.5000 0.5000 0.7500
Au2 Au 0.0000 0.0000 0.5549
# Final energy ... -5.00 eV/atom
# D(E_F) ... 3.9 states/eV/cell

---

# CePuSn | Alexandria | GGA-PBE | relaxed
data_CePuSn
_cell_length_a 5.7411
_cell_length_b 3.3171
_cell_length_c 8.9800
_cell_angle_alpha 100.64
_cell_angle_beta 90.00
_cell_angle_gamma 90.00
_space_group_name_H-M_alt 'P 1'
_space_group_IT_number 1
_space_group_name_Hall 'P 1'
loop_
_atom_site_label
_atom_site_type_symbol
_atom_site_fract_x
_atom_site_fract_y
_atom_site_fract_z
Ce1 Ce 0.2500 0.8265 0.6531
Sn1 Sn 0.7500 0.3576 0.7152
Pu1 Pu 0.5000 0.0000 0.0000
Pu2 Pu 0.0000 0.0000 0.0000
Ce2 Ce 0.7500 0.1735 0.3469
Sn2 Sn 0.2500 0.6424 0.2848
# Final energy ... -8.30 eV/atom
# D(E_F) ... 22.9 states/eV/cell

---

# BaCaB | Alexandria | GGA-PBE | relaxed
data_BaCaB
_cell_length_a 4.3135
_cell_length_b 4.9007
_cell_length_c 11.4688
_cell_angle_alpha 88.96
_cell_angle_beta 79.20
_cell_angle_gamma 64.08
_space_group_name_H-M_alt 'P 1'
_space_group_IT_number 1
_space_group_name_Hall 'P 1'
loop_
_atom_site_label
_atom_site_type_symbol
_atom_site_fract_x
_atom_site_fract_y
_atom_site_fract_z
Ba1 Ba 0.7396 0.6869 0.3424
Ca1 Ca 0.4123 0.7681 0.9070
Ca2 Ca 0.5877 0.2319 0.0930
B1 B 0.9177 0.6072 0.0583
Ba2 Ba 0.2604 0.3131 0.6576
B2 B 0.0823 0.3928 0.9417
# Final energy ... -3.37 eV/atom
# D(E_F) ... 4.2 states/eV/cell